Density functional theory data (PBE) for crystalline LiPm2ErTl4 at its relaxed geometry.

Computed properties:
Calculated volume = 649.8 Å³/cell
ΔH_f (0 K) = -339 meV/atom
D(E_F) = 4.90 states/eV/f.u.
Energy = -3.52 eV/atom

abc: 5.2899 5.2899 26.8125
angles: 90.00 90.00 120.00
Space group R-3m (No. 166, hexagonal axes)
Asymmetric unit:
Li1 0.0000 0.0000 0.0000 x3
Pm1 0.0000 0.0000 0.2555 x6
Er1 0.0000 0.0000 0.5000 x3
Tl1 0.0000 0.0000 0.1247 x6
Tl2 0.0000 0.0000 0.3740 x6